Record 1
{"formula": "La2NdMg3InGa2", "functional": "PBE", "state": "relaxed", "lattice": [[4.692, 0.000, 0.000], [0.000, 6.566, 3.805], [0.000, -6.566, 3.805]], "species": ["La", "La", "Mg", "Mg", "Mg", "Ga", "Ga", "Nd", "In"], "fractional_positions": [[0.000, 0.435, 0.000], [0.000, 0.000, 0.435], [0.500, 0.999, 0.752], [0.500, 0.752, 0.999], [0.500, 0.249, 0.249], [0.500, 0.666, 0.335], [0.500, 0.335, 0.666], [0.000, 0.566, 0.566], [0.000, 0.998, 0.998]], "dft_energy_ev_per_cell": -32.30, "rho_g_cm3": 5.31}

=====

Record 2
{"formula": "La2InGaNi4", "functional": "PBE", "state": "relaxed", "lattice": [[4.343, 0.000, 0.000], [-2.171, 3.761, 0.000], [0.000, 0.000, 9.477]], "species": ["Ni", "Ni", "Ni", "Ni", "Ga", "In", "La", "La"], "fractional_positions": [[0.333, 0.667, 0.954], [0.333, 0.667, 0.553], [0.667, 0.333, 0.046], [0.667, 0.333, 0.447], [0.000, 0.000, 0.000], [0.000, 0.000, 0.500], [0.667, 0.333, 0.755], [0.333, 0.667, 0.245]], "dft_energy_ev_per_cell": -41.37, "rho_g_cm3": 7.48}

=====

Record 3
{"formula": "La2Zn2InGa", "functional": "PBE", "state": "relaxed", "lattice": [[4.694, 0.000, 0.000], [-2.347, 4.065, 0.000], [0.000, 0.000, 7.742]], "species": ["Ga", "La", "La", "Zn", "Zn", "In"], "fractional_positions": [[0.000, 0.000, 0.464], [0.667, 0.333, 0.254], [0.667, 0.333, 0.739], [0.000, 0.000, 0.040], [0.333, 0.667, 0.532], [0.333, 0.667, 0.970]], "dft_energy_ev_per_cell": -21.25, "rho_g_cm3": 6.67}

=====

Record 4
{"formula": "Li2Mg2InGaNi2", "functional": "PBE", "state": "relaxed", "lattice": [[-0.799, 3.719, 2.155], [-2.414, -2.202, 2.905], [5.050, -0.936, 3.488]], "species": ["In", "Ni", "Ni", "Li", "Li", "Mg", "Mg", "Ga"], "fractional_positions": [[0.500, 0.500, 0.500], [0.000, 0.500, 0.766], [0.500, 0.000, 0.234], [0.000, 0.500, 0.235], [0.500, 0.000, 0.765], [0.500, 0.500, 0.000], [0.000, 0.000, 0.500], [0.000, 0.000, 0.000]], "dft_energy_ev_per_cell": -26.12, "rho_g_cm3": 5.10}

=====

Record 5
{"formula": "Li2Mg2InGaPd2", "functional": "PBE", "state": "relaxed", "lattice": [[-1.554, -4.228, 0.090], [4.030, -1.509, -1.335], [1.830, -0.541, 6.133]], "species": ["In", "Pd", "Pd", "Li", "Li", "Mg", "Mg", "Ga"], "fractional_positions": [[0.000, 0.000, 0.500], [0.500, 0.000, 0.234], [0.000, 0.500, 0.766], [0.000, 0.500, 0.234], [0.500, 0.000, 0.766], [0.500, 0.500, 0.500], [0.000, 0.000, 0.000], [0.500, 0.500, 0.000]], "dft_energy_ev_per_cell": -27.43, "rho_g_cm3": 5.86}

=====

Record 6
{"formula": "Li2Mg2InGaPt2", "functional": "PBE", "state": "relaxed", "lattice": [[-3.721, 0.735, 2.397], [-2.505, -1.258, -3.503], [0.140, -6.056, 2.075]], "species": ["Li", "Li", "In", "Mg", "Mg", "Pt", "Pt", "Ga"], "fractional_positions": [[0.000, 0.500, 0.768], [0.500, 0.000, 0.232], [0.500, 0.500, 0.500], [0.000, 0.000, 0.500], [0.500, 0.500, 0.000], [0.500, 0.000, 0.766], [0.000, 0.500, 0.234], [0.000, 0.000, 0.000]], "dft_energy_ev_per_cell": -30.08, "rho_g_cm3": 8.21}

=====

Record 7
{"formula": "Li2InGaMo2Os2", "functional": "PBE", "state": "relaxed", "lattice": [[4.354, 0.000, 0.000], [0.000, 4.354, 0.000], [0.000, 0.000, 6.203]], "species": ["Li", "Li", "Mo", "Mo", "Os", "Os", "In", "Ga"], "fractional_positions": [[0.000, 0.500, 0.239], [0.500, 0.000, 0.761], [0.000, 0.000, 0.000], [0.500, 0.500, 0.500], [0.000, 0.500, 0.760], [0.500, 0.000, 0.240], [0.000, 0.000, 0.500], [0.500, 0.500, 0.000]], "dft_energy_ev_per_cell": -54.31, "rho_g_cm3": 10.88}

=====

Record 8
{"formula": "Li2Zn2InGaNi2", "functional": "PBE", "state": "relaxed", "lattice": [[4.238, 0.000, 0.000], [0.000, 4.238, 0.000], [0.000, 0.000, 6.062]], "species": ["Li", "Li", "Zn", "Zn", "In", "Ni", "Ni", "Ga"], "fractional_positions": [[0.000, 0.500, 0.766], [0.500, 0.000, 0.234], [0.000, 0.000, 0.500], [0.500, 0.500, 0.000], [0.500, 0.500, 0.500], [0.000, 0.500, 0.231], [0.500, 0.000, 0.769], [0.000, 0.000, 0.000]], "dft_energy_ev_per_cell": -25.58, "rho_g_cm3": 6.81}

=====

Record 9
{"formula": "Li4InGaPd2", "functional": "PBE", "state": "relaxed", "lattice": [[4.385, 0.000, 0.000], [0.000, 4.385, 0.000], [0.000, 0.000, 6.276]], "species": ["Li", "Li", "Li", "Li", "Pd", "Pd", "Ga", "In"], "fractional_positions": [[0.000, 0.000, 0.500], [0.500, 0.500, 0.000], [0.500, 0.000, 0.232], [0.000, 0.500, 0.768], [0.500, 0.000, 0.771], [0.000, 0.500, 0.229], [0.000, 0.000, 0.000], [0.500, 0.500, 0.500]], "dft_energy_ev_per_cell": -27.91, "rho_g_cm3": 5.85}

=====

Record 10
{"formula": "LiInGaPd", "functional": "PBE", "state": "relaxed", "lattice": [[0.000, 3.215, 3.215], [3.215, 0.000, 3.215], [3.215, 3.215, 0.000]], "species": ["Pd", "Ga", "Li", "In"], "fractional_positions": [[0.000, 0.000, 0.000], [0.250, 0.250, 0.250], [0.750, 0.750, 0.750], [0.500, 0.500, 0.500]], "dft_energy_ev_per_cell": -14.31, "e_above_lowest_polymorph_mev_per_atom": 99.1, "rho_g_cm3": 7.45}

=====

Record 11
{"formula": "LiInGaPd", "functional": "PBE", "state": "relaxed", "lattice": [[3.999, -0.932, 1.937], [1.472, 2.506, 3.488], [0.141, -1.780, 4.174]], "species": ["Pd", "Li", "Ga", "In"], "fractional_positions": [[0.250, 0.250, 0.250], [0.750, 0.750, 0.750], [0.500, 0.500, 0.500], [0.000, 0.000, 0.000]], "dft_energy_ev_per_cell": -14.71, "e_above_lowest_polymorph_mev_per_atom": 0.0, "rho_g_cm3": 7.48}

=====

Record 12
{"formula": "Li2Zr2InGaPd2", "functional": "PBE", "state": "relaxed", "lattice": [[-2.983, 2.896, 1.850], [-3.436, -2.556, -1.539], [0.084, -3.409, 5.472]], "species": ["Pd", "Pd", "Li", "Li", "Ga", "Zr", "Zr", "In"], "fractional_positions": [[0.500, 0.000, 0.741], [0.000, 0.500, 0.259], [0.000, 0.500, 0.740], [0.500, 0.000, 0.260], [0.500, 0.500, 0.500], [0.000, 0.000, 0.500], [0.500, 0.500, 0.000], [0.000, 0.000, 0.000]], "dft_energy_ev_per_cell": -41.79, "rho_g_cm3": 7.39}

=====

Record 13
{"formula": "Li2Sc2InGaPt2", "functional": "PBE", "state": "relaxed", "lattice": [[4.545, 0.000, 0.000], [0.000, 4.545, 0.000], [0.000, 0.000, 6.473]], "species": ["Pt", "Pt", "Sc", "Sc", "Li", "Li", "In", "Ga"], "fractional_positions": [[0.500, 0.000, 0.764], [0.000, 0.500, 0.236], [0.000, 0.000, 0.500], [0.500, 0.500, 0.000], [0.500, 0.000, 0.236], [0.000, 0.500, 0.764], [0.500, 0.500, 0.500], [0.000, 0.000, 0.000]], "dft_energy_ev_per_cell": -40.85, "rho_g_cm3": 8.43}